Entry from Alexandria via LeMat-Bulk: a relaxed structure of Sm2ZnGaRu2 (PBE-GGA).

Cell lengths 8.178, 8.178, 8.178 Å; angles 138.20, 60.79, 137.94 degrees
Sites, in units of the cell vectors:
Sm  0.169  0.246  0.415
Sm  0.331  0.746  0.077
Sm  0.669  0.254  0.923
Sm  0.831  0.754  0.585
Zn  0.250  0.250  0.000
Zn  0.750  0.750  0.000
Ga  0.250  0.750  0.500
Ga  0.750  0.250  0.500
Ru  0.114  0.741  0.854
Ru  0.386  0.241  0.627
Ru  0.614  0.759  0.373
Ru  0.886  0.259  0.146

Summary:
V ... 20.13 A^3/atom
Total moment ... 0.00 μB/atom
Symmetry ... No. 72
Calculated formation energy ... -328 meV/atom
Density ... 8.8 g/cm3